Entry 1:
Here is TcAuSe2 after structural relaxation from Alexandria. Energies are from PBE. Values from VASP.

The structure in Quantum ESPRESSO input format:
```
&SYSTEM
  ibrav = 0, nat = 4, ntyp = 3
/
ATOMIC_SPECIES
Se 78.96 Se.upf
Tc 98.00 Tc.upf
Au 196.97 Au.upf
CELL_PARAMETERS angstrom
5.6648 0.0081 0.0000
3.0183 4.7938 0.0000
-4.3415 -2.4009 2.7344
ATOMIC_POSITIONS crystal
Se 0.2500 0.7500 0.5000
Se 0.0000 0.0000 0.0000
Tc 0.5000 0.5000 0.0000
Au 0.7500 0.2500 0.5000
```

ΔE_f (raw) in meV/atom: 593
Space-group type: No. 119
N(E_F) in states/eV per cell: 2.60



Entry 2:
Here is TcAuSe after structural relaxation from Alexandria. Energies are from PBE. Values from VASP.

The structure in Quantum ESPRESSO input format:
```
&SYSTEM
  ibrav = 0, nat = 3, ntyp = 3
/
ATOMIC_SPECIES
Au 196.97 Au.upf
Tc 98.00 Tc.upf
Se 78.96 Se.upf
CELL_PARAMETERS angstrom
8.0666 0.0276 -0.0178
7.2955 2.8224 -0.0301
0.7711 -1.1644 2.5408
ATOMIC_POSITIONS crystal
Au 0.0200 0.0200 0.9800
Tc 0.6776 0.6776 0.3224
Se 0.3024 0.3024 0.6976
```

ΔE_f (raw) in meV/atom: 398
Space-group type: No. 42
N(E_F) in states/eV per cell: 2.90



Entry 3:
Here is Tc2AuSe after structural relaxation from Alexandria. Energies are from PBE. Values from VASP.

The structure in Quantum ESPRESSO input format:
```
&SYSTEM
  ibrav = 0, nat = 4, ntyp = 3
/
ATOMIC_SPECIES
Tc 98.00 Tc.upf
Se 78.96 Se.upf
Au 196.97 Au.upf
CELL_PARAMETERS angstrom
3.9153 0.0000 0.0000
0.0000 3.0828 -0.0022
0.0000 1.6218 5.3337
ATOMIC_POSITIONS crystal
Tc 0.0000 0.6170 0.5193
Tc 0.0000 0.8830 0.9807
Se 0.5000 0.7500 0.7500
Au 0.5000 0.2500 0.2500
```

ΔE_f (raw) in meV/atom: 426
Space-group type: No. 10
N(E_F) in states/eV per cell: 3.43



Calculated magnetic moment in order - 2.41; 0.26; 0.00 Bohr magnetons per cell